# Nd5Hg

Nd5Hg after structural relaxation (PBE, Alexandria via LeMat-Bulk).

Cell lengths 4.951, 15.584, 5.015 Å; angles 90.00, 90.00, 90.00 degrees
Space group Cmmm (No. 65)
Inequivalent atoms, fractional coordinates:
Nd 0.000 0.000 0.000 (multiplicity 2)
Nd 0.000 0.162 0.500 (multiplicity 4)
Nd 0.000 0.334 0.000 (multiplicity 4)
Hg 0.000 0.500 0.500 (multiplicity 2)

Results
Its crystal system is orthorhombic. The density of states at the Fermi level comes out at 1.291 states/eV per atom.

=====

# NdHg2

NdHg2 after structural relaxation (PBE, Alexandria via LeMat-Bulk).

Cell lengths 3.976, 3.976, 10.174 Å; angles 90.00, 90.00, 90.00 degrees
Space group I4/mmm (No. 139)
Inequivalent atoms, fractional coordinates:
Nd 0.000 0.000 0.000 (multiplicity 2)
Hg 0.000 0.000 0.330 (multiplicity 4)

Results
Its crystal system is tetragonal. The density of states at the Fermi level comes out at 0.716 states/eV per atom.

=====

# NdHg4

NdHg4 after structural relaxation (PBE, Alexandria via LeMat-Bulk).

Cell lengths 4.935, 6.703, 15.451 Å; angles 90.00, 90.00, 90.00 degrees
Space group Imma (No. 74)
Inequivalent atoms, fractional coordinates:
Nd 0.000 0.250 0.110 (multiplicity 4)
Hg 0.000 0.000 0.500 (multiplicity 4)
Hg 0.000 0.003 0.697 (multiplicity 8)
Hg 0.000 0.250 0.899 (multiplicity 4)

Results
Its crystal system is orthorhombic. The density of states at the Fermi level comes out at 0.701 states/eV per atom.

=====

# NdHg7

NdHg7 after structural relaxation (PBE, Alexandria via LeMat-Bulk).

Cell lengths 4.641, 4.641, 19.158 Å; angles 90.00, 90.00, 90.00 degrees
Space group I4/mmm (No. 139)
Inequivalent atoms, fractional coordinates:
Nd 0.000 0.000 0.000 (multiplicity 2)
Hg 0.000 0.000 0.253 (multiplicity 4)
Hg 0.000 0.000 0.500 (multiplicity 2)
Hg 0.000 0.500 0.125 (multiplicity 8)

Results
Its crystal system is tetragonal. The density of states at the Fermi level comes out at 0.459 states/eV per atom.

=====

# NdHg7

NdHg7 after structural relaxation (PBE, Alexandria via LeMat-Bulk).

Cell lengths 9.493, 9.493, 9.493 Å; angles 90.00, 90.00, 90.00 degrees
Space group Fm-3m (No. 225)
Inequivalent atoms, fractional coordinates:
Nd 0.000 0.000 0.000 (multiplicity 4)
Hg 0.000 0.000 0.500 (multiplicity 4)
Hg 0.000 0.250 0.250 (multiplicity 24)

Results
Its crystal system is cubic. The density of states at the Fermi level comes out at 0.977 states/eV per atom.

=====

The records above give, respectively, ΔH_f (0 K) values of -0.5 -1.1 -1.5 -1.4 -1.0 eV per formula unit.